1.
{"formula": "Ba2LiAg4", "functional": "PBE", "state": "optimized geometry", "cell": [[-3.453, 2.861, -2.214], [-3.584, -3.122, 1.556], [-4.353, 4.383, 6.805]], "species": ["Ag", "Ag", "Ag", "Ag", "Li", "Ba", "Ba"], "frac_coords": [[0.852, 0.852, 0.295], [0.500, 0.000, 0.000], [0.148, 0.148, 0.705], [0.000, 0.500, 0.000], [0.000, 0.000, 0.000], [0.354, 0.354, 0.292], [0.646, 0.646, 0.708]], "mass_density_g_cm3": 5.580, "formation_energy_ev_per_atom": -0.116, "dos_ef_per_ev_atom": 0.40, "space_group": "I4/mmm, No. 139"}

2.
{"formula": "BaLiMg2Ag", "functional": "PBE", "state": "optimized geometry", "cell": [[5.298, 0.000, 0.000], [0.000, 5.298, 0.000], [0.000, 0.000, 5.302]], "species": ["Mg", "Mg", "Ag", "Li", "Ba"], "frac_coords": [[0.000, 0.500, 0.000], [0.500, 0.000, 0.000], [0.000, 0.000, 0.000], [0.000, 0.000, 0.500], [0.500, 0.500, 0.500]], "mass_density_g_cm3": 3.356, "formation_energy_ev_per_atom": -0.053, "dos_ef_per_ev_atom": 0.88, "space_group": "P4/mmm, No. 123"}

3.
{"formula": "Ba2Li12Mg3Ag", "functional": "PBE", "state": "optimized geometry", "cell": [[-1.861, 0.616, 11.319], [-1.325, -6.211, 9.572], [4.505, -2.286, 10.317]], "species": ["Li", "Li", "Li", "Li", "Li", "Li", "Li", "Li", "Li", "Li", "Li", "Li", "Mg", "Mg", "Mg", "Ba", "Ba", "Ag"], "frac_coords": [[0.580, 0.195, 0.580], [0.420, 0.805, 0.420], [0.580, 0.580, 0.195], [0.656, 0.064, 0.064], [0.344, 0.936, 0.936], [0.936, 0.344, 0.936], [0.936, 0.936, 0.344], [0.805, 0.420, 0.420], [0.195, 0.580, 0.580], [0.064, 0.656, 0.064], [0.064, 0.064, 0.656], [0.420, 0.420, 0.805], [0.000, 0.000, 0.500], [0.500, 0.000, 0.000], [0.000, 0.500, 0.000], [0.347, 0.347, 0.347], [0.653, 0.653, 0.653], [0.000, 0.000, 0.000]], "mass_density_g_cm3": 1.926, "formation_energy_ev_per_atom": 0.110, "dos_ef_per_ev_atom": 0.44, "space_group": "R-3m, No. 166"}

4.
{"formula": "Ba2Li3MgAg4", "functional": "PBE", "state": "optimized geometry", "cell": [[-2.922, -3.124, 2.200], [0.317, -2.958, -3.780], [8.797, -4.969, 4.628]], "species": ["Ag", "Ag", "Ag", "Ag", "Li", "Li", "Li", "Mg", "Ba", "Ba"], "frac_coords": [[0.000, 0.000, 0.000], [0.500, 0.500, 0.000], [0.000, 0.500, 0.366], [0.500, 0.000, 0.634], [0.000, 0.000, 0.500], [0.500, 0.000, 0.890], [0.000, 0.500, 0.110], [0.500, 0.500, 0.500], [0.500, 0.000, 0.240], [0.000, 0.500, 0.760]], "mass_density_g_cm3": 4.851, "formation_energy_ev_per_atom": -0.196, "dos_ef_per_ev_atom": 0.49, "space_group": "P-4m2, No. 115"}

5.
{"formula": "Ba3Li2Mg2Ag4", "functional": "PBE", "state": "optimized geometry", "cell": [[4.824, 0.000, 0.000], [-2.412, 4.177, 0.000], [0.000, 0.000, 16.954]], "species": ["Ag", "Ag", "Ag", "Ag", "Ba", "Ba", "Ba", "Li", "Li", "Mg", "Mg"], "frac_coords": [[0.667, 0.333, 0.136], [0.333, 0.667, 0.396], [0.333, 0.667, 0.864], [0.667, 0.333, 0.604], [0.000, 0.000, 0.000], [0.000, 0.000, 0.278], [0.000, 0.000, 0.722], [0.333, 0.667, 0.140], [0.667, 0.333, 0.860], [0.333, 0.667, 0.559], [0.667, 0.333, 0.441]], "mass_density_g_cm3": 4.404, "formation_energy_ev_per_atom": -0.140, "dos_ef_per_ev_atom": 0.51, "space_group": "P-3m1, No. 164"}

6.
{"formula": "Ba2LiMgAg", "functional": "PBE", "state": "optimized geometry", "cell": [[6.444, 0.000, 0.000], [0.000, 6.444, 0.000], [0.000, 0.000, 5.286]], "species": ["Ba", "Ba", "Mg", "Ag", "Li"], "frac_coords": [[0.000, 0.500, 0.000], [0.500, 0.000, 0.000], [0.000, 0.000, 0.500], [0.000, 0.000, 0.000], [0.500, 0.500, 0.500]], "mass_density_g_cm3": 3.130, "formation_energy_ev_per_atom": 0.010, "dos_ef_per_ev_atom": 0.66, "space_group": "P4/mmm, No. 123"}

7.
{"formula": "BaLi2Mg4Ag", "functional": "PBE", "state": "optimized geometry", "cell": [[4.797, 0.000, 0.000], [2.399, 4.155, 0.000], [2.399, 1.385, 10.654]], "species": ["Li", "Li", "Mg", "Mg", "Mg", "Mg", "Ba", "Ag"], "frac_coords": [[0.771, 0.771, 0.688], [0.229, 0.229, 0.312], [0.137, 0.137, 0.589], [0.587, 0.587, 0.239], [0.863, 0.863, 0.411], [0.413, 0.413, 0.761], [0.000, 0.000, 0.000], [0.500, 0.500, 0.500]], "mass_density_g_cm3": 2.786, "formation_energy_ev_per_atom": -0.062, "dos_ef_per_ev_atom": 0.73, "space_group": "R-3m, No. 166"}

8.
{"formula": "Ba2LiMgAg", "functional": "PBE", "state": "optimized geometry", "cell": [[6.480, 0.000, 0.000], [0.000, 6.480, 0.000], [0.000, 0.000, 4.991]], "species": ["Ba", "Ba", "Mg", "Ag", "Li"], "frac_coords": [[0.500, 0.000, 0.000], [0.000, 0.500, 0.000], [0.500, 0.500, 0.500], [0.000, 0.000, 0.000], [0.000, 0.000, 0.500]], "mass_density_g_cm3": 3.278, "formation_energy_ev_per_atom": 0.009, "dos_ef_per_ev_atom": 0.68, "space_group": "P4/mmm, No. 123"}

9.
{"formula": "BaLiMn2Ag", "functional": "PBE", "state": "optimized geometry", "cell": [[-4.121, 2.680, 0.033], [-0.659, -1.073, 4.844], [2.601, 3.984, 1.237]], "species": ["Ba", "Ag", "Mn", "Mn", "Li"], "frac_coords": [[0.500, 0.500, 0.500], [0.000, 0.500, 0.000], [0.000, 0.000, 0.500], [0.500, 0.000, 0.000], [0.000, 0.000, 0.000]], "mass_density_g_cm3": 4.969, "formation_energy_ev_per_atom": 0.599, "dos_ef_per_ev_atom": 0.70, "space_group": "P4/mmm, No. 123"}

10.
{"formula": "Ba2LiAgN", "functional": "PBE", "state": "optimized geometry", "cell": [[-3.577, 4.464, -0.160], [-3.255, -2.465, 4.010], [2.221, 1.885, 2.962]], "species": ["Ag", "Ba", "Ba", "N", "Li"], "frac_coords": [[0.500, 0.500, 0.500], [0.000, 0.500, 0.000], [0.500, 0.000, 0.000], [0.000, 0.000, 0.000], [0.000, 0.000, 0.500]], "mass_density_g_cm3": 4.924, "de_polymorph_mev_per_atom": 50, "formation_energy_uncorrected_ev_per_atom": -0.255, "dos_ef_per_ev_atom": 0.55, "space_group": "P4/mmm, No. 123"}

11.
{"formula": "Ba2LiAgN", "functional": "PBE", "state": "optimized geometry", "cell": [[4.079, 0.000, 0.000], [0.000, 7.808, -0.072], [0.000, -3.434, 8.891]], "species": ["Ba", "Ba", "Ba", "Ba", "N", "N", "Li", "Li", "Ag", "Ag"], "frac_coords": [[0.250, 0.144, 0.363], [0.250, 0.211, 0.991], [0.750, 0.789, 0.009], [0.750, 0.856, 0.637], [0.750, 0.161, 0.176], [0.250, 0.839, 0.824], [0.250, 0.567, 0.706], [0.750, 0.433, 0.294], [0.250, 0.669, 0.302], [0.750, 0.331, 0.698]], "mass_density_g_cm3": 4.749, "de_polymorph_mev_per_atom": 0, "formation_energy_uncorrected_ev_per_atom": -0.305, "dos_ef_per_ev_atom": 0.61, "space_group": "P2_1/m, No. 11"}

12.
{"formula": "BaLi2AgN", "functional": "PBE", "state": "optimized geometry", "cell": [[4.559, 0.000, 0.000], [0.000, 6.579, 0.000], [0.000, 0.000, 4.559]], "species": ["Ag", "Li", "Li", "Ba", "N"], "frac_coords": [[0.000, 0.000, 0.000], [0.000, 0.000, 0.500], [0.500, 0.000, 0.000], [0.000, 0.500, 0.000], [0.500, 0.500, 0.500]], "mass_density_g_cm3": 3.316, "formation_energy_uncorrected_ev_per_atom": 0.664, "dos_ef_per_ev_atom": 0.51, "space_group": "P4/mmm, No. 123"}